a:
Compound: BSb2MoI
Source: Alexandria via LeMat-Bulk
Functional: PBE-GGA
Structure: relaxed

abc: 4.7751 4.7751 4.9459
angles: 90.00 90.00 90.00
Closest atoms and distances in Å follow each position.
Fractional coordinates of all 5 atoms:
I: 0.0000 0.0000 0.5000  2 B 2.47
Sb: 0.0000 0.5000 0.0000  2 B 2.39
Sb: 0.5000 0.0000 0.0000  2 B 2.39
Mo: 0.5000 0.5000 0.5000  4 I 3.38, 8 Sb 3.44
B: 0.0000 0.0000 0.0000  4 Sb 2.39, 2 I 2.47

Properties
V, Å³ per cell: 112.8

---

b:
Compound: BSb2MoI
Source: Alexandria via LeMat-Bulk
Functional: PBE-GGA
Structure: relaxed

abc: 5.1519 5.1519 5.9282
angles: 90.00 90.00 90.00
Closest atoms and distances in Å follow each position.
Fractional coordinates of all 5 atoms:
I: 0.0000 0.0000 0.5000  2 Mo 2.96
Sb: 0.0000 0.5000 0.0000  2 Mo 2.58
Sb: 0.5000 0.0000 0.0000  2 Mo 2.58
Mo: 0.0000 0.0000 0.0000  4 Sb 2.58
B: 0.5000 0.5000 0.5000  4 I 3.64, 8 Sb 3.93

Properties
V, Å³ per cell: 157.3

---

Which one sits at the bottom of the stability order? b does.

---

a:
Compound: BSbMoI2
Source: Alexandria via LeMat-Bulk
Functional: PBE-GGA
Structure: relaxed

abc: 4.9645 4.9645 5.0200
angles: 90.00 90.00 90.00
Closest atoms and distances in Å follow each position.
Fractional coordinates of all 5 atoms:
I: 0.0000 0.5000 0.0000  2 B 2.48
I: 0.5000 0.0000 0.0000  2 B 2.48
Sb: 0.0000 0.0000 0.5000  2 B 2.51
Mo: 0.5000 0.5000 0.5000  4 Sb 3.51, 8 I 3.53
B: 0.0000 0.0000 0.0000  4 I 2.48, 2 Sb 2.51

Properties
V, Å³ per cell: 123.7

---

b:
Compound: BSbMoI2
Source: Alexandria via LeMat-Bulk
Functional: PBE-GGA
Structure: relaxed

abc: 5.6357 5.6357 5.2532
angles: 90.00 90.00 90.00
Closest atoms and distances in Å follow each position.
Fractional coordinates of all 5 atoms:
I: 0.0000 0.5000 0.0000  2 Mo 2.82
I: 0.5000 0.0000 0.0000  2 Mo 2.82
Sb: 0.0000 0.0000 0.5000  2 Mo 2.63
Mo: 0.0000 0.0000 0.0000  2 Sb 2.63, 4 I 2.82
B: 0.5000 0.5000 0.5000  8 I 3.85, 4 Sb 3.99

Properties
V, Å³ per cell: 166.9

---

Which one sits at the bottom of the stability order? b does.

---

a:
Compound: BTe2MoI
Source: Alexandria via LeMat-Bulk
Functional: PBE-GGA
Structure: relaxed

abc: 5.2285 5.2285 5.8341
angles: 90.00 90.00 90.00
Closest atoms and distances in Å follow each position.
Fractional coordinates of all 5 atoms:
I: 0.0000 0.0000 0.5000  2 Mo 2.92
Mo: 0.0000 0.0000 0.0000  4 Te 2.61, 2 I 2.92
Te: 0.0000 0.5000 0.0000  2 Mo 2.61
Te: 0.5000 0.0000 0.0000  2 Mo 2.61
B: 0.5000 0.5000 0.5000  4 I 3.70, 8 Te 3.92

Properties
V, Å³ per cell: 159.5

---

b:
Compound: BTe2MoI
Source: Alexandria via LeMat-Bulk
Functional: PBE-GGA
Structure: relaxed

abc: 4.9043 4.9043 4.9131
angles: 90.00 90.00 90.00
Closest atoms and distances in Å follow each position.
Fractional coordinates of all 5 atoms:
I: 0.0000 0.0000 0.5000  2 B 2.46
Mo: 0.5000 0.5000 0.5000  4 I 3.47, 8 Te 3.47
Te: 0.0000 0.5000 0.0000  2 B 2.45
Te: 0.5000 0.0000 0.0000  2 B 2.45
B: 0.0000 0.0000 0.0000  4 Te 2.45, 2 I 2.46

Properties
V, Å³ per cell: 118.2

---

Which one sits at the bottom of the stability order? a does.

---

a:
Compound: B3IN
Source: Alexandria via LeMat-Bulk
Functional: PBE-GGA
Structure: relaxed

abc: 3.7864 3.7864 3.7864
angles: 90.00 90.00 90.00
Closest atoms and distances in Å follow each position.
Fractional coordinates of all 5 atoms:
I: 0.5000 0.5000 0.5000  12 B 2.68
B: 0.0000 0.5000 0.0000  2 N 1.89
B: 0.0000 0.0000 0.5000  2 N 1.89
B: 0.5000 0.0000 0.0000  2 N 1.89
N: 0.0000 0.0000 0.0000  6 B 1.89

Properties
V, Å³ per cell: 54.3

---

b:
Compound: B3IN
Source: Alexandria via LeMat-Bulk
Functional: PBE-GGA
Structure: relaxed

abc: 4.3702 4.3702 4.3702
angles: 90.00 90.00 90.00
Closest atoms and distances in Å follow each position.
Fractional coordinates of all 5 atoms:
I: 0.0000 0.0000 0.0000  6 B 2.19
B: 0.0000 0.5000 0.0000  2 I 2.19
B: 0.0000 0.0000 0.5000  2 I 2.19
B: 0.5000 0.0000 0.0000  2 I 2.19
N: 0.5000 0.5000 0.5000  12 B 3.09

Properties
V, Å³ per cell: 83.5

---

Which one sits at the bottom of the stability order? b does.

---

a:
Compound: BIN2
Source: Alexandria via LeMat-Bulk
Functional: PBE-GGA
Structure: relaxed

abc: 6.3882 6.3882 6.3882
angles: 30.82 30.82 30.82
Closest atoms and distances in Å follow each position.
Fractional coordinates of all 4 atoms:
I: 0.5000 0.5000 0.5000  6 N 2.59
B: 0.0000 0.0000 0.0000  2 N 1.35
N: 0.9261 0.9261 0.9261  1 B 1.35
N: 0.0739 0.0739 0.0739  1 B 1.35

Properties
V, Å³ per cell: 60.7

---

b:
Compound: BIN2
Source: Alexandria via LeMat-Bulk
Functional: PBE-GGA
Structure: relaxed

abc: 4.7543 4.7543 5.1387
angles: 62.45 62.45 90.00
Closest atoms and distances in Å follow each position.
Fractional coordinates of all 8 atoms:
I: 0.0000 0.0000 0.0000  4 N 2.45
I: 0.7500 0.2500 0.5000  4 N 2.45
B: 0.5000 0.5000 0.0000  4 N 1.60
B: 0.2500 0.7500 0.5000  4 N 1.60
N: 0.4734 0.1250 0.2500  2 B 1.60
N: 0.2766 0.6250 0.2500  2 B 1.60
N: 0.3750 0.5266 0.7500  2 B 1.60
N: 0.8750 0.7234 0.7500  2 B 1.60

Properties
V, Å³ per cell: 87.8

---

c:
Compound: BIN2
Source: Alexandria via LeMat-Bulk
Functional: PBE-GGA
Structure: relaxed

abc: 3.9420 3.9420 3.9420
angles: 60.00 60.00 60.00
Closest atoms and distances in Å follow each position.
Fractional coordinates of all 4 atoms:
I: 0.5000 0.5000 0.5000  8 N 2.41
B: 0.0000 0.0000 0.0000  8 N 2.41
N: 0.2500 0.2500 0.2500  4 I 2.41, 4 B 2.41
N: 0.7500 0.7500 0.7500  4 B 2.41, 4 I 2.41

Properties
V, Å³ per cell: 43.3

---

Which one sits at the bottom of the stability order? c does.

---

a:
Compound: NaBI2N
Source: Alexandria via LeMat-Bulk
Functional: PBE-GGA
Structure: relaxed

abc: 6.6787 6.6787 2.8293
angles: 90.00 90.00 90.00
Closest atoms and distances in Å follow each position.
Fractional coordinates of all 5 atoms:
I: 0.0000 0.5000 0.0000  2 I 2.83
I: 0.5000 0.0000 0.0000  2 I 2.83
Na: 0.5000 0.5000 0.5000  2 Na 2.83
B: 0.0000 0.0000 0.0000  2 N 1.41
N: 0.0000 0.0000 0.5000  2 B 1.41

Properties
V, Å³ per cell: 126.2

---

b:
Compound: NaBI2N
Source: Alexandria via LeMat-Bulk
Functional: PBE-GGA
Structure: relaxed

abc: 5.9236 5.9236 4.5678
angles: 90.00 90.00 90.00
Closest atoms and distances in Å follow each position.
Fractional coordinates of all 5 atoms:
I: 0.0000 0.5000 0.0000  2 Na 2.96
I: 0.5000 0.0000 0.0000  2 Na 2.96
Na: 0.0000 0.0000 0.0000  2 N 2.28
B: 0.5000 0.5000 0.5000  8 I 3.74, 4 N 4.19
N: 0.0000 0.0000 0.5000  2 Na 2.28

Properties
V, Å³ per cell: 160.3

---

Which one sits at the bottom of the stability order? b does.